PuHgBr6 | GGA-PBE | optimized geometry

The structure belongs to space group R-3 (No. 148, hexagonal axes); the cell edges are 6.9894, 6.9894 and 19.3066 Å and the angles 90.00°, 90.00° and 120.00°. The inequivalent atoms are Pu at (0.0000, 0.0000, 0.0000), Hg at (0.0000, 0.0000, 0.5000) and Br at (0.0009, 0.3246, 0.9174).

The uncorrected formation energy comes out at -0.904 eV/atom. The volume is 272 Å³/f.u. The energy above the most stable polymorph in this dataset is 13 meV/atom.